# 1
RbFeH2Ir after structural relaxation, computed with GGA-PBEsol.

a b c (Å): 3.9496 3.9496 4.7046
angles (deg): 90.00 90.00 90.00
With the nearest neighbours (Å) after each atom.
Element x y z (fractional)
Rb1 0.0000 0.0000 0.0000  4 Fe 2.79, 8 H 3.07
Fe1 0.5000 0.5000 0.0000  2 Ir 2.35
H1 0.0000 0.5000 0.5000  2 Ir 1.97
H2 0.5000 0.0000 0.5000  2 Ir 1.97
Ir1 0.5000 0.5000 0.5000  4 H 1.97

## Properties
Symmetry   No. 123

---

# 2
K2FeH2 after structural relaxation, computed with GGA-PBEsol.

a b c (Å): 7.4528 7.4528 3.2319
angles (deg): 90.00 90.00 90.00
With the nearest neighbours (Å) after each atom.
Element x y z (fractional)
K1 0.1454 0.3546 0.0000  6 H 2.59-2.81
K2 0.3546 0.8546 0.0000  6 H 2.59-2.81
K3 0.6454 0.1454 0.0000  6 H 2.59-2.81
K4 0.8546 0.6454 0.0000  6 H 2.59-2.81
Fe1 0.0000 0.0000 0.5000  4 H 2.79
Fe2 0.5000 0.5000 0.5000  4 H 2.79
H1 0.1622 0.6622 0.5000  6 K 2.59-2.81, 2 Fe 2.79
H2 0.3378 0.1622 0.5000  6 K 2.59-2.81, 2 Fe 2.79
H3 0.6622 0.8378 0.5000  6 K 2.59-2.81, 2 Fe 2.79
H4 0.8378 0.3378 0.5000  6 K 2.59-2.81, 2 Fe 2.79

## Properties
Symmetry   No. 127

---

# 3
KFeP4H4O14 after structural relaxation, computed with GGA-PBEsol.

a b c (Å): 4.8764 7.5058 7.7112
angles (deg): 81.41 83.45 73.52
With the nearest neighbours (Å) after each atom.
Element x y z (fractional)
K1 0.0000 0.0000 0.0000  6 O 2.71-2.82
Fe1 0.0000 0.5000 0.0000  6 O 1.89-1.93
P1 0.3193 0.2326 0.3149  4 O 1.52-1.61
P2 0.4190 0.6030 0.2252  4 O 1.52-1.60
P3 0.5810 0.3970 0.7748  4 O 1.52-1.60
P4 0.6807 0.7674 0.6851  4 O 1.52-1.61
H1 0.1088 0.7792 0.4183  1 O 1.05
H2 0.3043 0.0095 0.6094  1 O 1.05
H3 0.6957 0.9905 0.3906  1 O 1.05
H4 0.8912 0.2208 0.5817  1 O 1.05
O1 0.1628 0.1615 0.4804  2 H 1.45-1.46, 1 P 1.52
O2 0.1688 0.2719 0.1459  1 P 1.52
O3 0.2533 0.6284 0.0629  1 P 1.53
O4 0.2630 0.4124 0.8114  1 P 1.52
O5 0.2957 0.7697 0.3340  1 H 1.05
O6 0.3719 0.4242 0.3548  2 P 1.60-1.61
O7 0.3813 0.9081 0.7148  1 H 1.05
O8 0.6187 0.0919 0.2852  1 H 1.05
O9 0.6281 0.5758 0.6452  2 P 1.60-1.61
O10 0.7043 0.2303 0.6660  1 H 1.05
O11 0.7370 0.5876 0.1886  1 P 1.52
O12 0.7467 0.3716 0.9371  1 P 1.53
O13 0.8312 0.7281 0.8541  1 P 1.52
O14 0.8372 0.8385 0.5196  2 H 1.45-1.46, 1 P 1.52

## Properties
Symmetry   No. 2

---

# 4
KFeH2S2O9 after structural relaxation, computed with GGA-PBEsol.

a b c (Å): 7.8205 4.9988 9.1020
angles (deg): 90.00 104.15 90.00
With the nearest neighbours (Å) after each atom.
Element x y z (fractional)
K1 0.0825 0.2500 0.2141  10 O 2.75-3.00
K2 0.9175 0.7500 0.7859  10 O 2.75-3.00
Fe1 0.4115 0.7500 0.7759  6 O 1.90-1.91
Fe2 0.5885 0.2500 0.2241  6 O 1.90-1.91
H1 0.3262 0.5854 0.5184  1 O 1.00
H2 0.3262 0.9146 0.5184  1 O 1.00
H3 0.6738 0.0854 0.4816  1 O 1.00
H4 0.6738 0.4146 0.4816  1 O 1.00
S1 0.1694 0.2500 0.6637  4 O 1.45-1.52
S2 0.3532 0.7500 0.1110  4 O 1.45-1.51
S3 0.6468 0.2500 0.8890  4 O 1.45-1.51
S4 0.8306 0.7500 0.3363  4 O 1.45-1.52
O1 0.0221 0.7500 0.3732  1 S 1.45
O2 0.1621 0.7500 0.0604  1 S 1.45
O3 0.2297 0.0064 0.7618  1 S 1.52
O4 0.2297 0.4936 0.7618  1 S 1.52
O5 0.2488 0.2500 0.5320  1 S 1.48
O6 0.3916 0.7500 0.5625  2 H 1.00
O7 0.4074 0.5084 0.2116  1 S 1.51
O8 0.4074 0.9916 0.2116  1 S 1.51
O9 0.4506 0.7500 0.9917  1 S 1.47
O10 0.5494 0.2500 0.0083  1 S 1.47
O11 0.5926 0.0084 0.7884  1 S 1.51
O12 0.5926 0.4916 0.7884  1 S 1.51
O13 0.6084 0.2500 0.4375  2 H 1.00
O14 0.7512 0.7500 0.4680  1 S 1.48
O15 0.7703 0.5064 0.2382  1 S 1.52
O16 0.7703 0.9936 0.2382  1 S 1.52
O17 0.8379 0.2500 0.9396  1 S 1.45
O18 0.9779 0.2500 0.6268  1 S 1.45

## Properties
Symmetry   No. 11

---

# 5
KFe3H6S2O14 after structural relaxation, computed with GGA-PBEsol.

a b c (Å): 7.0440 7.0440 7.0440
angles (deg): 61.22 61.22 61.22
With the nearest neighbours (Å) after each atom.
Element x y z (fractional)
K1 0.0000 0.0000 0.0000  12 O 2.84-2.87, 6 H 3.13
Fe1 0.0000 0.0000 0.5000  6 O 1.95-2.10
Fe2 0.0000 0.5000 0.0000  6 O 1.95-2.10
Fe3 0.5000 0.0000 0.0000  6 O 1.95-2.10
H1 0.2916 0.6882 0.6882  1 O 1.00
H2 0.3118 0.3118 0.7084  1 O 1.00
H3 0.3118 0.7084 0.3118  1 O 1.00
H4 0.6882 0.2916 0.6882  1 O 1.00
H5 0.6882 0.6882 0.2916  1 O 1.00
H6 0.7084 0.3118 0.3118  1 O 1.00
S1 0.3115 0.3115 0.3115  4 O 1.49
S2 0.6885 0.6885 0.6885  4 O 1.49
O1 0.1216 0.7338 0.7338  1 H 1.00
O2 0.1699 0.1699 0.5091  1 S 1.49
O3 0.1699 0.5091 0.1699  1 S 1.49
O4 0.2662 0.2662 0.8784  1 H 1.00
O5 0.2662 0.8784 0.2662  1 H 1.00
O6 0.3987 0.3987 0.3987  1 S 1.49
O7 0.4909 0.8301 0.8301  1 S 1.49
O8 0.5091 0.1699 0.1699  1 S 1.49
O9 0.6013 0.6013 0.6013  1 S 1.49
O10 0.7338 0.1216 0.7338  1 H 1.00
O11 0.7338 0.7338 0.1216  1 H 1.00
O12 0.8301 0.4909 0.8301  1 S 1.49
O13 0.8301 0.8301 0.4909  1 S 1.49
O14 0.8784 0.2662 0.2662  1 H 1.00

## Properties
Symmetry   No. 166

---

# 6
LaFe5H7 after structural relaxation, computed with GGA-PBEsol.

a b c (Å): 5.3777 5.3777 8.0851
angles (deg): 90.00 90.00 115.97
With the nearest neighbours (Å) after each atom.
Element x y z (fractional)
La1 0.0000 0.0000 0.0000  8 H 2.33-2.48
La2 0.0000 0.0000 0.5000  8 H 2.33-2.48
Fe1 0.0000 0.5000 0.2680  4 H 1.65-1.67
Fe2 0.0000 0.5000 0.7320  4 H 1.65-1.67
Fe3 0.3373 0.6430 0.0000  3 H 1.70-1.73
Fe4 0.3570 0.6627 0.5000  3 H 1.70-1.73
Fe5 0.5000 0.0000 0.2320  4 H 1.65-1.67
Fe6 0.5000 0.0000 0.7680  4 H 1.65-1.67
Fe7 0.5000 0.5000 0.2500  4 H 1.67
Fe8 0.5000 0.5000 0.7500  4 H 1.67
Fe9 0.6430 0.3373 0.5000  3 H 1.70-1.73
Fe10 0.6627 0.3570 0.0000  3 H 1.70-1.73
H1 0.0000 0.5000 0.5000  4 Fe 1.73-1.88
H2 0.1569 0.8431 0.2500  2 Fe 1.67
H3 0.1569 0.8431 0.7500  2 Fe 1.67
H4 0.1982 0.4071 0.1534  3 Fe 1.65-1.70
H5 0.1982 0.4071 0.8466  3 Fe 1.65-1.70
H6 0.4071 0.1982 0.3466  3 Fe 1.65-1.70
H7 0.4071 0.1982 0.6534  3 Fe 1.65-1.70
H8 0.5000 0.0000 0.0000  4 Fe 1.73-1.88
H9 0.5929 0.8018 0.3466  3 Fe 1.65-1.70
H10 0.5929 0.8018 0.6534  3 Fe 1.65-1.70
H11 0.8018 0.5929 0.1534  3 Fe 1.65-1.70
H12 0.8018 0.5929 0.8466  3 Fe 1.65-1.70
H13 0.8431 0.1569 0.2500  2 Fe 1.67
H14 0.8431 0.1569 0.7500  2 Fe 1.67

## Properties
Symmetry   No. 66

---

# 7
LaFe5H7 after structural relaxation, computed with GGA-PBEsol.

a b c (Å): 5.5107 5.5107 8.1813
angles (deg): 90.00 90.00 120.00
With the nearest neighbours (Å) after each atom.
Element x y z (fractional)
La1 0.0000 0.0000 0.0000  6 H 2.43-2.44
La2 0.0000 0.0000 0.5000  6 H 2.43-2.44
Fe1 0.0233 0.5116 0.2495  4 H 1.70-1.71
Fe2 0.3333 0.6667 0.0089  3 H 1.68
Fe3 0.3333 0.6667 0.5364  4 H 1.68-1.87
Fe4 0.4884 0.5116 0.2495  4 H 1.70-1.71
Fe5 0.4884 0.9767 0.2495  4 H 1.70-1.71
Fe6 0.5116 0.0233 0.7495  4 H 1.70-1.71
Fe7 0.5116 0.4884 0.7495  4 H 1.70-1.71
Fe8 0.6667 0.3333 0.0364  4 H 1.68-1.87
Fe9 0.6667 0.3333 0.5089  3 H 1.68
Fe10 0.9767 0.4884 0.7495  4 H 1.70-1.71
H1 0.0074 0.5037 0.4581  3 Fe 1.68-1.71
H2 0.1389 0.2779 0.2494  2 Fe 1.70
H3 0.1389 0.8611 0.2494  2 Fe 1.70
H4 0.2779 0.1389 0.7494  2 Fe 1.70
H5 0.3333 0.6667 0.7649  4 Fe 1.71-1.87
H6 0.4963 0.5037 0.4581  3 Fe 1.68-1.71
H7 0.4963 0.9926 0.4581  3 Fe 1.68-1.71
H8 0.5037 0.0074 0.9581  3 Fe 1.68-1.71
H9 0.5037 0.4963 0.9581  3 Fe 1.68-1.71
H10 0.6667 0.3333 0.2649  4 Fe 1.71-1.87
H11 0.7221 0.8611 0.2494  2 Fe 1.70
H12 0.8611 0.1389 0.7494  2 Fe 1.70
H13 0.8611 0.7221 0.7494  2 Fe 1.70
H14 0.9926 0.4963 0.9581  3 Fe 1.68-1.71

## Properties
Symmetry   No. 186

---

# 8
LaFe3H after structural relaxation, computed with GGA-PBEsol.

a b c (Å): 3.9313 3.9313 3.9313
angles (deg): 90.00 90.00 90.00
With the nearest neighbours (Å) after each atom.
Element x y z (fractional)
La1 0.0000 0.0000 0.0000  12 Fe 2.78
Fe1 0.0000 0.5000 0.5000  2 H 1.97
Fe2 0.5000 0.0000 0.5000  2 H 1.97
Fe3 0.5000 0.5000 0.0000  2 H 1.97
H1 0.5000 0.5000 0.5000  6 Fe 1.97

## Properties
Symmetry   No. 221

---

# 9
Na2LiFeH after structural relaxation, computed with GGA-PBEsol.

a b c (Å): 5.2241 5.2241 3.3342
angles (deg): 90.00 90.00 90.00
With the nearest neighbours (Å) after each atom.
Element x y z (fractional)
Na1 0.0000 0.5000 0.0000  2 H 2.61
Na2 0.5000 0.0000 0.0000  2 H 2.61
Li1 0.0000 0.0000 0.5000  2 H 1.67
Fe1 0.5000 0.5000 0.5000  8 Na 3.10, 2 Fe 3.33
H1 0.0000 0.0000 0.0000  2 Li 1.67

## Properties
Symmetry   No. 123

---

# 10
LiFe2P2HO8 after structural relaxation, computed with GGA-PBEsol.

a b c (Å): 8.3963 4.7923 15.1040
angles (deg): 90.00 95.25 90.00
With the nearest neighbours (Å) after each atom.
Element x y z (fractional)
Li1 0.0000 0.0796 0.2500  2 O 1.94
Li2 0.0000 0.9204 0.7500  2 O 1.94
Li3 0.5000 0.1214 0.7500  2 O 1.94
Li4 0.5000 0.8786 0.2500  2 O 1.94
Fe1 0.0740 0.2184 0.0010  6 O 2.03-2.15
Fe2 0.0740 0.7816 0.5010  6 O 2.03-2.15
Fe3 0.4277 0.2223 0.0012  6 O 2.05-2.15
Fe4 0.4277 0.7777 0.5012  6 O 2.05-2.15
Fe5 0.5723 0.2223 0.4988  6 O 2.05-2.15
Fe6 0.5723 0.7777 0.9988  6 O 2.05-2.15
Fe7 0.9260 0.2184 0.4990  6 O 2.03-2.15
Fe8 0.9260 0.7816 0.9990  6 O 2.03-2.15
P1 0.2306 0.2614 0.3901  4 O 1.54-1.56
P2 0.2306 0.7386 0.8901  4 O 1.54-1.56
P3 0.2690 0.2808 0.6195  4 O 1.53-1.57
P4 0.2690 0.7192 0.1195  4 O 1.53-1.57
P5 0.7310 0.2808 0.8805  4 O 1.53-1.57
P6 0.7310 0.7192 0.3805  4 O 1.53-1.57
P7 0.7694 0.2614 0.1099  4 O 1.54-1.56
P8 0.7694 0.7386 0.6099  4 O 1.54-1.56
H1 0.2546 0.4875 0.2508  1 O 1.11
H2 0.2546 0.5125 0.7508  1 O 1.11
H3 0.7454 0.4875 0.2492  1 O 1.11
H4 0.7454 0.5125 0.7492  1 O 1.11
O1 0.0840 0.4081 0.4249  1 P 1.55
O2 0.0840 0.5919 0.9249  1 P 1.55
O3 0.1127 0.1120 0.5969  1 P 1.55
O4 0.1127 0.8880 0.0969  1 P 1.55
O5 0.2042 0.2530 0.2875  1 H 1.34
O6 0.2042 0.7470 0.7875  1 H 1.34
O7 0.2380 0.0436 0.9264  1 P 1.56
O8 0.2380 0.9564 0.4264  1 P 1.56
O9 0.2621 0.4268 0.0779  1 P 1.53
O10 0.2621 0.5732 0.5779  1 P 1.53
O11 0.2980 0.3154 0.7233  1 H 1.11
O12 0.2980 0.6846 0.2233  1 H 1.11
O13 0.3900 0.4095 0.4205  1 P 1.55
O14 0.3900 0.5905 0.9205  1 P 1.55
O15 0.4171 0.1089 0.5961  1 P 1.56
O16 0.4171 0.8911 0.0961  1 P 1.56
O17 0.5829 0.1089 0.9039  1 P 1.56
O18 0.5829 0.8911 0.4039  1 P 1.56
O19 0.6100 0.4095 0.0795  1 P 1.55
O20 0.6100 0.5905 0.5795  1 P 1.55
O21 0.7020 0.3154 0.7767  1 H 1.11
O22 0.7020 0.6846 0.2767  1 H 1.11
O23 0.7379 0.4268 0.4221  1 P 1.53
O24 0.7379 0.5732 0.9221  1 P 1.53
O25 0.7620 0.0436 0.5736  1 P 1.56
O26 0.7620 0.9564 0.0736  1 P 1.56
O27 0.7958 0.2530 0.2125  1 H 1.34
O28 0.7958 0.7470 0.7125  1 H 1.34
O29 0.8873 0.1120 0.9031  1 P 1.55
O30 0.8873 0.8880 0.4031  1 P 1.55
O31 0.9160 0.4081 0.0751  1 P 1.55
O32 0.9160 0.5919 0.5751  1 P 1.55

## Properties
Symmetry   No. 13

---

# 11
LiFe2P2HO8 after structural relaxation, computed with GGA-PBEsol.

a b c (Å): 4.9786 7.9838 8.4935
angles (deg): 93.69 90.75 101.31
With the nearest neighbours (Å) after each atom.
Element x y z (fractional)
Li1 0.1921 0.3452 0.3642  4 O 1.96-2.09
Li2 0.8079 0.6548 0.6358  4 O 1.96-2.09
Fe1 0.2000 0.3849 0.7532  4 O 1.93-2.07
Fe2 0.3120 0.1302 0.8657  4 O 1.92-1.99
Fe3 0.6880 0.8698 0.1343  4 O 1.92-1.99
Fe4 0.8000 0.6151 0.2468  4 O 1.93-2.07
P1 0.1395 0.7490 0.9172  4 O 1.53-1.56
P2 0.3573 0.7429 0.4237  4 O 1.53-1.58
P3 0.6427 0.2571 0.5763  4 O 1.53-1.58
P4 0.8605 0.2510 0.0828  4 O 1.53-1.56
H1 0.4668 0.0802 0.3696  1 O 1.04
H2 0.5332 0.9198 0.6304  1 O 1.04
O1 0.0319 0.2653 0.9294  1 P 1.56
O2 0.0403 0.5918 0.8019  1 P 1.54
O3 0.0471 0.7034 0.4449  1 P 1.53
O4 0.0808 0.9060 0.8355  1 P 1.55
O5 0.4420 0.7641 0.9644  1 P 1.53
O6 0.4466 0.8927 0.3160  1 H 1.52, 1 P 1.55
O7 0.4590 0.5819 0.3579  1 P 1.55
O8 0.4861 0.2071 0.4112  1 H 1.04
O9 0.5139 0.7929 0.5888  1 H 1.04
O10 0.5410 0.4181 0.6421  1 P 1.55
O11 0.5534 0.1073 0.6840  1 H 1.52, 1 P 1.55
O12 0.5580 0.2359 0.0356  1 P 1.53
O13 0.9192 0.0940 0.1645  1 P 1.55
O14 0.9529 0.2966 0.5551  1 P 1.53
O15 0.9597 0.4082 0.1981  1 P 1.54
O16 0.9681 0.7347 0.0706  1 P 1.56

## Properties
Symmetry   No. 2

---

# 12
Li2Fe2P4H3O16 after structural relaxation, computed with GGA-PBEsol.

a b c (Å): 4.9209 7.1536 7.9876
angles (deg): 90.01 92.13 102.88
With the nearest neighbours (Å) after each atom.
Element x y z (fractional)
Li1 0.0000 0.0000 0.0000  4 O 1.91-2.05
Li2 0.2786 0.3455 0.6913  4 O 1.91-2.06
Fe1 0.1404 0.1730 0.3451  6 O 1.93-2.08
Fe2 0.6404 0.6712 0.8468  4 O 1.83-1.87
P1 0.0124 0.4122 0.9962  4 O 1.53-1.57
P2 0.2691 0.9296 0.6948  4 O 1.53-1.56
P3 0.5163 0.9050 0.1843  4 O 1.52-1.57
P4 0.7643 0.4401 0.5073  4 O 1.52-1.57
H1 0.2953 0.5926 0.2367  1 O 1.03
H2 0.6294 0.1677 0.8409  2 O 1.14-1.28
H3 0.9845 0.7524 0.4548  1 O 1.03
O1 0.0302 0.8469 0.8091  1 P 1.53
O2 0.1217 0.3906 0.1777  1 P 1.55, 1 H 1.57
O3 0.1602 0.9547 0.5146  1 P 1.54, 1 H 1.58
O4 0.2534 0.4980 0.8834  1 P 1.53
O5 0.2980 0.0286 0.1661  1 P 1.54
O6 0.4046 0.7220 0.2843  1 H 1.03
O7 0.4215 0.1287 0.7660  1 H 1.14
O8 0.4766 0.7937 0.6819  1 P 1.56
O9 0.4978 0.3251 0.4214  1 P 1.52
O10 0.5918 0.8528 0.0039  1 P 1.57
O11 0.6896 0.4916 0.6881  1 P 1.57
O12 0.7827 0.0198 0.2706  1 P 1.52
O13 0.8073 0.5510 0.0099  1 P 1.57
O14 0.8607 0.2160 0.9242  1 H 1.28
O15 0.8747 0.6233 0.4073  1 H 1.03
O16 0.9830 0.3168 0.5249  1 P 1.54

## Properties
Symmetry   No. 1

---

Number 1: total energy -4.453 eV per atom, M_tot 3.615 μB per cell. Number 2: total energy -2.873 eV per atom, M_tot 6.900 μB per cell. Number 3: total energy -6.822 eV per atom, M_tot 1.000 μB per cell. Number 4: total energy -6.236 eV per atom, M_tot 2.000 μB per cell. Number 5: total energy -6.292 eV per atom, M_tot 12.849 μB per cell. Number 6: total energy -5.766 eV per atom, M_tot 19.571 μB per cell. Number 7: total energy -5.750 eV per atom, M_tot 23.464 μB per cell. Number 8: total energy -6.700 eV per atom, M_tot 5.533 μB per cell. Number 9: total energy -2.823 eV per atom, M_tot 2.812 μB per cell. Number 10: total energy -7.264 eV per atom, M_tot 32.000 μB per cell. Number 11: total energy -7.244 eV per atom, M_tot 16.000 μB per cell. Number 12: total energy -6.965 eV per atom, M_tot 9.004 μB per cell.